# 1
{
  "formula": "Te2PdI",
  "functional": "PBE",
  "state": "relaxed",
  "m_tot_mub_per_fu": 0.0,
  "e_form_raw_kj_per_mol_atoms": 0.7,
  "e_tot_ev_per_atom": -3.25,
  "lattice": [[7.751, 0.000, 0.000], [0.000, 4.573, 0.000], [0.000, 0.000, 13.527]],
  "species": ["I", "I", "I", "I", "Te", "Te", "Te", "Te", "Te", "Te", "Te", "Te", "Pd", "Pd", "Pd", "Pd"],
  "frac_coords": [[0.388, 0.250, 0.398], [0.112, 0.750, 0.898], [0.612, 0.750, 0.602], [0.888, 0.250, 0.102], [0.840, 0.250, 0.490], [0.660, 0.750, 0.990], [0.160, 0.750, 0.510], [0.340, 0.250, 0.010], [0.407, 0.250, 0.710], [0.093, 0.750, 0.210], [0.593, 0.750, 0.290], [0.907, 0.250, 0.790], [0.094, 0.250, 0.624], [0.406, 0.750, 0.124], [0.906, 0.750, 0.376], [0.594, 0.250, 0.876]]
}

=====

# 2
{
  "formula": "Pr2AlRhO6",
  "functional": "PBE",
  "state": "relaxed",
  "m_tot_mub_per_fu": 0.0,
  "e_form_raw_kj_per_mol_atoms": -243.2,
  "e_tot_ev_per_atom": -7.56,
  "lattice": [[-2.717, -4.135, 2.367], [-0.170, -2.640, -4.807], [6.736, -3.472, 1.668]],
  "species": ["Pr", "Pr", "Pr", "Pr", "Al", "Al", "Rh", "Rh", "O", "O", "O", "O", "O", "O", "O", "O", "O", "O", "O", "O"],
  "frac_coords": [[0.500, 0.750, 0.250], [0.000, 0.250, 0.750], [0.500, 0.750, 0.750], [0.000, 0.250, 0.250], [0.500, 0.250, 0.500], [0.000, 0.750, 0.000], [0.000, 0.750, 0.500], [0.500, 0.250, 0.000], [0.500, 0.250, 0.259], [0.500, 0.250, 0.741], [0.000, 0.750, 0.241], [0.000, 0.750, 0.759], [0.259, 0.009, 0.500], [0.741, 0.009, 0.500], [0.259, 0.491, 0.500], [0.741, 0.491, 0.500], [0.759, 0.509, 0.000], [0.241, 0.509, 0.000], [0.241, 0.991, 0.000], [0.759, 0.991, 0.000]]
}

=====

# 3
{
  "formula": "NaLi2Tm2Pb2",
  "functional": "PBE",
  "state": "relaxed",
  "m_tot_mub_per_fu": 0.0,
  "e_tot_ev_per_atom": -3.31,
  "delta_e_f_ev_per_atom": -0.243,
  "lattice": [[4.889, 0.000, 0.000], [2.444, 4.234, 0.000], [2.444, 1.411, 8.978]],
  "species": ["Na", "Li", "Li", "Tm", "Tm", "Pb", "Pb"],
  "frac_coords": [[0.000, 0.000, 0.000], [0.608, 0.608, 0.175], [0.392, 0.392, 0.825], [0.127, 0.127, 0.619], [0.873, 0.873, 0.381], [0.746, 0.746, 0.761], [0.254, 0.254, 0.239]]
}